# 1
This record from Alexandria via LeMat-Bulk describes crystalline MnCd2Br6 at its relaxed geometry. The functional is PBE.

Computed properties:
**ΔE_f (raw)**: -0.831 eV/atom
**Energy above the lowest structure with this stoichiometry**: 0 meV per atom
**SG**: P-31m (162)
**Density of states at the Fermi level**: 0.000 states/eV/atom
**Crystal system**: trigonal

Lattice parameters (Å, degrees): 6.8137 6.9385 6.9385 120.00 90.00 90.00
With the nearest neighbours (Å) after each atom.
Fractional positions:
1 Br 0.7272 0.6786 0.6786  1 Mn 2.71, 2 Cd 2.82
2 Br 0.7272 0.3214 0.0000  1 Mn 2.71, 2 Cd 2.82
3 Br 0.2728 0.6786 0.0000  1 Mn 2.71, 2 Cd 2.82
4 Br 0.2728 0.3214 0.3214  1 Mn 2.71, 2 Cd 2.82
5 Cd 0.5000 0.6667 0.3333  6 Br 2.82
6 Cd 0.5000 0.3333 0.6667  6 Br 2.82
7 Br 0.7272 0.0000 0.3214  1 Mn 2.71, 2 Cd 2.82
8 Mn 0.5000 0.0000 0.0000  6 Br 2.71
9 Br 0.2728 0.0000 0.6786  1 Mn 2.71, 2 Cd 2.82

=====

# 2
This record from Alexandria via LeMat-Bulk describes crystalline Ga3NiIr2 at its relaxed geometry. The functional is PBE.

Computed properties:
**Energy above the lowest structure with this stoichiometry**: 0 meV per atom
**Energy of formation from the pure elements**: -0.378 eV/atom
**SG**: P4/mmm (123)
**Density of states at the Fermi level**: 0.299 states/eV/atom
**Crystal system**: tetragonal

Lattice parameters (Å, degrees): 2.9793 2.9793 9.2868 90.00 90.00 90.00
With the nearest neighbours (Å) after each atom.
Fractional positions:
1 Ir 0.5000 0.5000 0.8274  8 Ga 2.65
2 Ga 0.0000 0.0000 0.6541  4 Ni 2.55, 4 Ir 2.65
3 Ir 0.5000 0.5000 0.1726  8 Ga 2.65
4 Ni 0.5000 0.5000 0.5000  8 Ga 2.55
5 Ga 0.0000 0.0000 0.3459  4 Ni 2.55, 4 Ir 2.65
6 Ga 0.0000 0.0000 0.0000  8 Ir 2.65

=====

# 3
This record from Alexandria via LeMat-Bulk describes crystalline Th2Co3Ge at its relaxed geometry. The functional is PBE.

Computed properties:
**Energy of formation from the pure elements**: -0.378 eV/atom
**SG**: Fmmm (69)
**Density of states at the Fermi level**: 1.157 states/eV/atom
**Crystal system**: orthorhombic

Lattice parameters (Å, degrees): 5.7394 5.7394 8.0826 110.56 110.56 90.63
With the nearest neighbours (Å) after each atom.
Fractional positions:
1 Ge 0.6674 0.6674 0.3347  3 Co 2.39-2.41
2 Th 0.7500 0.2500 0.5000  4 Ge 3.09, 8 Co 3.10-3.13
3 Ge 0.3326 0.3326 0.6653  3 Co 2.39-2.41
4 Th 0.2454 0.2454 0.0000  10 Co 3.01-3.14, 2 Ge 3.12
5 Co 0.6741 0.1628 0.8369  2 Co 2.28-2.29, 1 Ge 2.41
6 Co 0.8372 0.3259 0.1631  2 Co 2.28-2.29, 1 Ge 2.41
7 Th 0.2500 0.7500 0.5000  4 Ge 3.09, 8 Co 3.10-3.13
8 Th 0.7546 0.7546 0.0000  10 Co 3.01-3.14, 2 Ge 3.12
9 Co 0.1617 0.1617 0.3233  2 Co 2.29, 1 Ge 2.39
10 Co 0.3259 0.8372 0.1631  2 Co 2.28-2.29, 1 Ge 2.41
11 Co 0.8383 0.8383 0.6767  2 Co 2.29, 1 Ge 2.39
12 Co 0.1628 0.6741 0.8369  2 Co 2.28-2.29, 1 Ge 2.41

=====

# 4
This record from Alexandria via LeMat-Bulk describes crystalline Ac2PmAg3Hg12 at its relaxed geometry. The functional is PBE.

Computed properties:
**Energy of formation from the pure elements**: -0.027 eV/atom
**SG**: R-3m (166)
**Density of states at the Fermi level**: 0.450 states/eV/atom
**Crystal system**: trigonal

Lattice parameters (Å, degrees): 9.2737 9.2737 9.2737 58.46 58.46 58.46
With the nearest neighbours (Å) after each atom.
Fractional positions:
1 Hg 0.7596 0.1634 0.7596  2 Ag 2.78
2 Pm 0.0000 0.0000 0.0000  12 Hg 3.22-3.45
3 Hg 0.2404 0.2404 0.8366  2 Ag 2.78
4 Hg 0.4647 0.8296 0.8296  1 Ag 2.97, 1 Ac 3.26, 4 Hg 3.27-3.30
5 Ag 0.0000 0.5000 0.0000  6 Hg 2.78-2.97
6 Hg 0.8296 0.4647 0.8296  1 Ag 2.97, 1 Ac 3.26, 4 Hg 3.27-3.30
7 Hg 0.5353 0.1704 0.1704  1 Ag 2.97, 1 Ac 3.26, 4 Hg 3.27-3.30
8 Hg 0.8366 0.2404 0.2404  2 Ag 2.78
9 Hg 0.1634 0.7596 0.7596  2 Ag 2.78
10 Hg 0.2404 0.8366 0.2404  2 Ag 2.78
11 Ag 0.5000 0.0000 0.0000  6 Hg 2.78-2.97
12 Hg 0.1704 0.5353 0.1704  1 Ag 2.97, 1 Ac 3.26, 4 Hg 3.27-3.30
13 Hg 0.1704 0.1704 0.5353  1 Ag 2.97, 1 Ac 3.26, 4 Hg 3.27-3.30
14 Hg 0.8296 0.8296 0.4647  1 Ag 2.97, 1 Ac 3.26, 4 Hg 3.27-3.30
15 Ac 0.4073 0.4073 0.4073  6 Hg 3.20-3.26
16 Ac 0.5927 0.5927 0.5927  6 Hg 3.20-3.26
17 Hg 0.7596 0.7596 0.1634  2 Ag 2.78
18 Ag 0.0000 0.0000 0.5000  6 Hg 2.78-2.97

=====

# 5
This record from Alexandria via LeMat-Bulk describes crystalline Tb2Ga5Pd3 at its relaxed geometry. The functional is PBE.

Computed properties:
**Energy above the lowest structure with this stoichiometry**: 0 meV per atom
**Energy of formation from the pure elements**: -0.771 eV/atom
**SG**: Ibam (72)
**Density of states at the Fermi level**: 0.482 states/eV/atom
**Crystal system**: orthorhombic

Lattice parameters (Å, degrees): 5.7157 8.6724 8.6724 71.95 70.76 70.76
With the nearest neighbours (Å) after each atom.
Fractional positions:
1 Ga 0.0433 0.2067 0.2067  3 Pd 2.56-2.65, 4 Ga 2.67-2.86
2 Pd 0.3542 0.5521 0.7394  5 Ga 2.49-2.56
3 Ga 0.5433 0.2067 0.2067  3 Pd 2.56-2.65, 4 Ga 2.67-2.86
4 Tb 0.1409 0.5840 0.1342  10 Ga 3.11-3.44, 4 Pd 3.16-3.30
5 Pd 0.8542 0.7394 0.5521  5 Ga 2.49-2.56
6 Tb 0.6409 0.1342 0.5840  10 Ga 3.11-3.44, 4 Pd 3.16-3.30
7 Pd 0.2500 0.0000 0.0000  6 Ga 2.56-2.65, 2 Pd 2.86
8 Ga 0.2500 0.5000 0.5000  4 Pd 2.54
9 Ga 0.0946 0.0762 0.7346  3 Pd 2.49-2.56, 2 Ga 2.67
10 Ga 0.9567 0.7933 0.7933  3 Pd 2.56-2.65, 4 Ga 2.67-2.86
11 Ga 0.4567 0.7933 0.7933  3 Pd 2.56-2.65, 4 Ga 2.67-2.86
12 Ga 0.7500 0.5000 0.5000  4 Pd 2.54
13 Tb 0.3591 0.8658 0.4160  10 Ga 3.11-3.44, 4 Pd 3.16-3.30
14 Ga 0.4054 0.2654 0.9238  3 Pd 2.49-2.56, 2 Ga 2.67
15 Ga 0.9054 0.9238 0.2654  3 Pd 2.49-2.56, 2 Ga 2.67
16 Ga 0.5946 0.7346 0.0762  3 Pd 2.49-2.56, 2 Ga 2.67
17 Pd 0.7500 0.0000 0.0000  6 Ga 2.56-2.65, 2 Pd 2.86
18 Tb 0.8591 0.4160 0.8658  10 Ga 3.11-3.44, 4 Pd 3.16-3.30
19 Pd 0.1458 0.2606 0.4479  5 Ga 2.49-2.56
20 Pd 0.6458 0.4479 0.2606  5 Ga 2.49-2.56

=====

# 6
This record from Alexandria via LeMat-Bulk describes crystalline Dy2FeHg at its relaxed geometry. The functional is PBE.

Computed properties:
**Energy above the lowest structure with this stoichiometry**: 0 meV per atom
**Energy of formation from the pure elements**: -0.189 eV/atom
**SG**: P4/mmm (123)
**Density of states at the Fermi level**: 1.154 states/eV/atom
**Crystal system**: tetragonal

Lattice parameters (Å, degrees): 3.4581 3.4581 7.5305 90.00 90.00 90.00
With the nearest neighbours (Å) after each atom.
Fractional positions:
1 Dy 0.0000 0.0000 0.7831  4 Fe 2.94, 4 Hg 3.24, 1 Dy 3.27
2 Dy 0.0000 0.0000 0.2169  4 Fe 2.94, 4 Hg 3.24, 1 Dy 3.27
3 Hg 0.5000 0.5000 0.5000  8 Dy 3.24, 4 Hg 3.46
4 Fe 0.5000 0.5000 0.0000  8 Dy 2.94

=====

Number 1: energy -0.1164 hartree per atom. Number 2: energy -0.2134 hartree per atom. Number 3: energy -0.2636 hartree per atom. Number 4: energy -0.0523 hartree per atom. Number 5: energy -0.1752 hartree per atom. Number 6: energy -0.1720 hartree per atom.